# 1
First-principles (SCAN) data for a crystal of CaV4CoCu2O12 relaxed with PBEsol, as listed in Alexandria.

The value obtained for the uncorrected formation energy is -2.235 eV/atom.

CIF file:
```
data_CaV4CoCu2O12
_space_group_name_H-M_alt 'I m m m'
_space_group_IT_number 71
_space_group_name_Hall '-I 2 2'
_cell_length_a 7.200
_cell_length_b 7.207
_cell_length_c 7.260
_cell_angle_alpha 90.00
_cell_angle_beta 90.00
_cell_angle_gamma 90.00
loop_
_atom_site_label
_atom_site_type_symbol
_atom_site_fract_x
_atom_site_fract_y
_atom_site_fract_z
_atom_site_occupancy
Ca1 Ca 0.000 0.000 0.000 1
V1 V 0.250 0.250 0.250 1
Co1 Co 0.000 0.500 0.500 1
Cu1 Cu 0.000 0.000 0.500 1
Cu2 Cu 0.000 0.500 0.000 1
O1 O 0.000 0.301 0.184 1
O2 O 0.183 0.000 0.299 1
O3 O 0.196 0.319 0.500 1
```

# 2
First-principles (SCAN) data for a crystal of CaSc2CoCu relaxed with PBEsol, as listed in Alexandria.

The calculated formation energy comes out at 7.5 eV/f.u.

CIF file:
```
data_CaSc2CoCu
_space_group_name_H-M_alt 'P 4/m m m'
_space_group_IT_number 123
_space_group_name_Hall '-P 4 2'
_cell_length_a 4.947
_cell_length_b 4.947
_cell_length_c 4.370
_cell_angle_alpha 90.00
_cell_angle_beta 90.00
_cell_angle_gamma 90.00
loop_
_atom_site_label
_atom_site_type_symbol
_atom_site_fract_x
_atom_site_fract_y
_atom_site_fract_z
_atom_site_occupancy
Ca1 Ca 0.000 0.000 0.000 1
Sc1 Sc 0.000 0.500 0.000 1
Co1 Co 0.500 0.500 0.500 1
Cu1 Cu 0.000 0.000 0.500 1
```

# 3
First-principles (SCAN) data for a crystal of CaCoF5 relaxed with PBEsol, as listed in Alexandria.

The value obtained for the uncorrected formation energy is -3.046 eV/atom.

CIF file:
```
data_CaCoF5
_space_group_name_H-M_alt 'P 1 21/c 1'
_space_group_IT_number 14
_cell_length_a 5.324
_cell_length_b 9.902
_cell_length_c 7.267
_cell_angle_alpha 90.00
_cell_angle_beta 109.52
_cell_angle_gamma 90.00
loop_
_space_group_symop_operation_xyz
'x,y,z'
'-x,-y,-z'
'-x,y+1/2,-z+1/2'
'x,-y+1/2,z+1/2'
loop_
_atom_site_label
_atom_site_type_symbol
_atom_site_fract_x
_atom_site_fract_y
_atom_site_fract_z
_atom_site_occupancy
Ca1 Ca 0.032 0.022 0.256 1
Co1 Co 0.390 0.246 0.599 1
F1 F 0.106 0.127 0.557 1
F2 F 0.152 0.114 0.004 1
F3 F 0.333 0.642 0.364 1
F4 F 0.367 0.200 0.343 1
F5 F 0.390 0.606 0.809 1
```

# 4
First-principles (SCAN) data for a crystal of CaCoF5 relaxed with PBEsol, as listed in Alexandria.

The value obtained for the uncorrected formation energy is -3.048 eV/atom.

CIF file:
```
data_CaCoF5
_space_group_name_H-M_alt 'C 1 2/c 1'
_space_group_IT_number 15
_cell_length_a 8.795
_cell_length_b 6.270
_cell_length_c 7.444
_cell_angle_alpha 90.00
_cell_angle_beta 114.99
_cell_angle_gamma 90.00
loop_
_space_group_symop_operation_xyz
'x,y,z'
'-x,-y,-z'
'-x,y,-z+1/2'
'x,-y,z+1/2'
'x+1/2,y+1/2,z'
'-x+1/2,-y+1/2,-z'
'-x+1/2,y+1/2,-z+1/2'
'x+1/2,-y+1/2,z+1/2'
loop_
_atom_site_label
_atom_site_type_symbol
_atom_site_fract_x
_atom_site_fract_y
_atom_site_fract_z
_atom_site_occupancy
Ca1 Ca 0.000 0.047 0.250 1
Co1 Co 0.000 0.500 0.000 1
F1 F 0.000 0.433 0.250 1
F2 F 0.012 0.209 0.974 1
F3 F 0.225 0.480 0.615 1
```

# 5
First-principles (SCAN) data for a crystal of CaCoI2F relaxed with PBEsol, as listed in Alexandria.

The value obtained for the uncorrected formation energy is 0.102 eV/atom.

CIF file:
```
data_CaCoI2F
_space_group_name_H-M_alt 'P 4/m m m'
_space_group_IT_number 123
_space_group_name_Hall '-P 4 2'
_cell_length_a 5.782
_cell_length_b 5.782
_cell_length_c 5.884
_cell_angle_alpha 90.00
_cell_angle_beta 90.00
_cell_angle_gamma 90.00
loop_
_atom_site_label
_atom_site_type_symbol
_atom_site_fract_x
_atom_site_fract_y
_atom_site_fract_z
_atom_site_occupancy
Ca1 Ca 0.000 0.000 0.000 1
Co1 Co 0.000 0.000 0.500 1
I1 I 0.000 0.500 0.000 1
F1 F 0.500 0.500 0.500 1
```

# 6
First-principles (SCAN) data for a crystal of Ca2FeCo relaxed with PBEsol, as listed in Alexandria.

The calculated formation energy comes out at 2.3 eV/f.u.

CIF file:
```
data_Ca2FeCo
_space_group_name_H-M_alt 'I 4/m m m'
_space_group_IT_number 139
_space_group_name_Hall '-I 4 2'
_cell_length_a 4.757
_cell_length_b 4.757
_cell_length_c 7.033
_cell_angle_alpha 90.00
_cell_angle_beta 90.00
_cell_angle_gamma 90.00
loop_
_atom_site_label
_atom_site_type_symbol
_atom_site_fract_x
_atom_site_fract_y
_atom_site_fract_z
_atom_site_occupancy
Ca1 Ca 0.000 0.500 0.250 1
Fe1 Fe 0.000 0.000 0.000 1
Co1 Co 0.000 0.000 0.500 1
```

# 7
First-principles (SCAN) data for a crystal of CaFe2Co relaxed with PBEsol, as listed in Alexandria.

The calculated formation energy comes out at 1.2 eV/f.u.

CIF file:
```
data_CaFe2Co
_space_group_name_H-M_alt 'P 4 m m'
_space_group_IT_number 99
_cell_length_a 3.043
_cell_length_b 3.043
_cell_length_c 6.496
_cell_angle_alpha 90.00
_cell_angle_beta 90.00
_cell_angle_gamma 90.00
loop_
_space_group_symop_operation_xyz
'x,y,z'
'-y,x,z'
'-x,-y,z'
'y,-x,z'
'-x,y,z'
'y,x,z'
'x,-y,z'
'-y,-x,z'
loop_
_atom_site_label
_atom_site_type_symbol
_atom_site_fract_x
_atom_site_fract_y
_atom_site_fract_z
_atom_site_occupancy
Ca1 Ca 0.000 0.000 0.000 1
Fe1 Fe 0.000 0.000 0.491 1
Fe2 Fe 0.500 0.500 0.668 1
Co1 Co 0.500 0.500 0.317 1
```

# 8
First-principles (SCAN) data for a crystal of Ca2FeCo relaxed with PBEsol, as listed in Alexandria.

The calculated formation energy comes out at 1.0 eV/f.u.

CIF file:
```
data_Ca2FeCo
_space_group_name_H-M_alt 'P 4 m m'
_space_group_IT_number 99
_cell_length_a 3.245
_cell_length_b 3.245
_cell_length_c 8.211
_cell_angle_alpha 90.00
_cell_angle_beta 90.00
_cell_angle_gamma 90.00
loop_
_space_group_symop_operation_xyz
'x,y,z'
'-y,x,z'
'-x,-y,z'
'y,-x,z'
'-x,y,z'
'y,x,z'
'x,-y,z'
'-y,-x,z'
loop_
_atom_site_label
_atom_site_type_symbol
_atom_site_fract_x
_atom_site_fract_y
_atom_site_fract_z
_atom_site_occupancy
Ca1 Ca 0.000 0.000 0.000 1
Ca2 Ca 0.500 0.500 0.403 1
Fe1 Fe 0.500 0.500 0.742 1
Co1 Co 0.000 0.000 0.661 1
```

# 9
First-principles (SCAN) data for a crystal of CaFe2Co relaxed with PBEsol, as listed in Alexandria.

The calculated formation energy comes out at 1.6 eV/f.u.

CIF file:
```
data_CaFe2Co
_space_group_name_H-M_alt 'I m m m'
_space_group_IT_number 71
_space_group_name_Hall '-I 2 2'
_cell_length_a 2.824
_cell_length_b 4.498
_cell_length_c 9.093
_cell_angle_alpha 90.00
_cell_angle_beta 90.00
_cell_angle_gamma 90.00
loop_
_atom_site_label
_atom_site_type_symbol
_atom_site_fract_x
_atom_site_fract_y
_atom_site_fract_z
_atom_site_occupancy
Ca1 Ca 0.000 0.000 0.000 1
Fe1 Fe 0.000 0.500 0.217 1
Co1 Co 0.000 0.000 0.500 1
```

# 10
First-principles (SCAN) data for a crystal of Ca2FeCo relaxed with PBEsol, as listed in Alexandria.

The calculated formation energy comes out at 2.3 eV/f.u.

CIF file:
```
data_Ca2FeCo
_space_group_name_H-M_alt 'C m m m'
_space_group_IT_number 65
_space_group_name_Hall '-C 2 2'
_cell_length_a 6.064
_cell_length_b 7.182
_cell_length_c 3.583
_cell_angle_alpha 90.00
_cell_angle_beta 90.00
_cell_angle_gamma 90.00
loop_
_atom_site_label
_atom_site_type_symbol
_atom_site_fract_x
_atom_site_fract_y
_atom_site_fract_z
_atom_site_occupancy
Ca1 Ca 0.250 0.250 0.000 1
Fe1 Fe 0.000 0.000 0.500 1
Co1 Co 0.000 0.500 0.500 1
```

no.,E_tot (eV/atom),V (Å³/atom),D(E_F) (states/eV/atom)
1,-12.340,9.418,0.393
2,-12.631,21.385,0.647
3,-9.427,12.896,0.000
4,-9.429,13.288,0.000
5,-20.696,39.337,1.787
6,-13.118,19.890,0.998
7,-15.498,15.035,0.523
8,-13.440,21.620,0.745
9,-15.415,14.436,0.622
10,-13.115,19.509,0.725